# 1
## LaNdBr2 (PBE)

Data for LaNdBr2 after structural relaxation.

Computed properties:
For the formation energy from raw total energies, the calculation gives -4.87 eV per formula unit. For the density of states at the Fermi level, the calculation gives 1.83 states/eV/f.u. The total energy comes out at -4.479 eV/atom. The energy above the lowest structure with this stoichiometry is 0.0 meV per atom.

a b c (Å): 3.7549 3.7549 27.9097
angles (deg): 90.00 90.00 120.00
Space group R3m (No. 160, hexagonal axes)
Asymmetric unit:
La 0.0000 0.0000 0.0000 (multiplicity 3)
Nd 0.0000 0.0000 0.1647 (multiplicity 3)
Br 0.0000 0.0000 0.4168 (multiplicity 3)
Br 0.0000 0.0000 0.5811 (multiplicity 3)

---

# 2
## CaPSe (PBE)

Data for CaPSe after structural relaxation.

Computed properties:
For the formation energy from raw total energies, the calculation gives -3.29 eV per formula unit. The total energy comes out at -4.729 eV/atom.

a b c (Å): 4.155 3.760 8.939
angles (deg): 90.00 93.23 90.00
Space group Pm (No. 6)
Asymmetric unit:
Ca 0.000 0.000 0.000 (multiplicity 1)
Ca 0.493 0.000 0.605 (multiplicity 1)
P 0.483 0.000 0.256 (multiplicity 1)
P 0.810 0.500 0.266 (multiplicity 1)
Se 0.480 0.500 0.868 (multiplicity 1)
Se 0.987 0.500 0.518 (multiplicity 1)

---

# 3
## RePb3Cl (PBE)

Data for RePb3Cl after structural relaxation.

Computed properties:
For the formation energy from raw total energies, the calculation gives 6.56 eV per formula unit. For the density of states at the Fermi level, the calculation gives 4.82 states/eV/f.u. The total energy comes out at -3.773 eV/atom. The energy above the lowest structure with this stoichiometry is 1263.4 meV per atom.

a b c (Å): 5.414 5.414 5.414
angles (deg): 90.00 90.00 90.00
Space group Pm-3m (No. 221)
Asymmetric unit:
Re 0.000 0.000 0.000 (multiplicity 1)
Pb 0.000 0.500 0.500 (multiplicity 3)
Cl 0.500 0.500 0.500 (multiplicity 1)

---

# 4
## SrMn2Co (PBE)

Data for SrMn2Co after structural relaxation.

Computed properties:
For the density of states at the Fermi level, the calculation gives 2.55 states/eV/f.u. The total energy comes out at -6.416 eV/atom. The energy above the lowest structure with this stoichiometry is 62.8 meV per atom. Its formation energy is 141 kJ/mol of formula units.

a b c (Å): 4.1392 4.1392 16.7618
angles (deg): 90.00 90.00 120.00
Space group R-3m (No. 166, hexagonal axes)
Asymmetric unit:
Sr 0.0000 0.0000 0.0000 (multiplicity 3)
Mn 0.0000 0.0000 0.1982 (multiplicity 6)
Co 0.0000 0.0000 0.5000 (multiplicity 3)

---

# 5
## DyZn9Cu2 (PBE)

Data for DyZn9Cu2 after structural relaxation.

Computed properties:
For the density of states at the Fermi level, the calculation gives 2.96 states/eV/f.u. The total energy comes out at -2.142 eV/atom. The energy above the lowest structure with this stoichiometry is 105.7 meV per atom. Its formation energy is -140 kJ/mol of formula units.

a b c (Å): 8.4989 8.4989 3.0101
angles (deg): 90.00 90.00 120.00
Space group P6/mmm (No. 191)
Asymmetric unit:
Dy 0.0000 0.0000 0.0000 (multiplicity 1)
Zn 0.0000 0.5000 0.0000 (multiplicity 3)
Zn 0.1866 0.3732 0.5000 (multiplicity 6)
Cu 0.3333 0.6667 0.0000 (multiplicity 2)

---

# 6
## NaPbBrO5 (PBE)

Data for NaPbBrO5 after structural relaxation.

Computed properties:
For the formation energy from raw total energies, the calculation gives -3.36 eV per formula unit. The total energy comes out at -4.356 eV/atom.

a b c (Å): 8.133 8.777 7.896
angles (deg): 90.00 118.17 90.00
Space group C2/c (No. 15)
Asymmetric unit:
Na 0.000 0.072 0.250 (multiplicity 4)
Pb 0.250 0.250 0.000 (multiplicity 4)
Br 0.000 0.464 0.250 (multiplicity 4)
O 0.000 0.193 0.750 (multiplicity 4)
O 0.022 0.337 0.098 (multiplicity 8)
O 0.228 0.015 0.083 (multiplicity 8)